Record 1
A plane-wave DFT calculation with PBE-GGA was carried out for crystalline BaNbAg2SeS3 at its relaxed geometry.

Cell lengths 6.4783, 6.4796, 6.5392 Å; angles 110.71, 116.98, 100.45 degrees
Last column: nearest neighbours and their distance in Å.
Positions (direct):
Ba  0.0000  0.0000  0.0000  6 S 3.33-3.39, 2 Se 3.39-3.42
Nb  0.5092  0.5052  0.0231  3 S 2.34-2.35, 1 Se 2.50
Ag  0.1793  0.6926  0.5035  1 S 2.46, 1 Se 2.57
Ag  0.8321  0.3156  0.5063  2 S 2.50-2.51
Se  0.4738  0.4746  0.6161  1 Nb 2.50, 1 Ag 2.57
S  0.1387  0.5200  0.9966  1 Nb 2.35, 1 Ag 2.50
S  0.5309  0.1466  0.0189  1 Nb 2.34, 1 Ag 2.51
S  0.8619  0.8639  0.3902  1 Nb 2.35, 1 Ag 2.46

Results
E = -5.0096 eV per atom

Record 2
A plane-wave DFT calculation with PBE-GGA was carried out for crystalline LaCu13 at its relaxed geometry.

Cell lengths 8.1657, 8.1657, 8.1657 Å; angles 60.00, 60.00, 60.00 degrees
Last column: nearest neighbours and their distance in Å.
Positions (direct):
La  0.2500  0.2500  0.2500  24 Cu 3.37
La  0.7500  0.7500  0.7500  24 Cu 3.37
Cu  0.0000  0.0000  0.0000  12 Cu 2.48
Cu  0.0628  0.2971  0.7029  10 Cu 2.45-2.71
Cu  0.0628  0.7029  0.9372  10 Cu 2.45-2.71
Cu  0.0628  0.9372  0.2971  10 Cu 2.45-2.71
Cu  0.2029  0.4372  0.7971  10 Cu 2.45-2.71
Cu  0.2029  0.5628  0.4372  10 Cu 2.45-2.71
Cu  0.2029  0.7971  0.5628  10 Cu 2.45-2.71
Cu  0.2971  0.0628  0.9372  10 Cu 2.45-2.71
Cu  0.2971  0.7029  0.0628  10 Cu 2.45-2.71
Cu  0.2971  0.9372  0.7029  10 Cu 2.45-2.71
Cu  0.4372  0.2029  0.5628  10 Cu 2.45-2.71
Cu  0.4372  0.5628  0.7971  10 Cu 2.45-2.71
Cu  0.4372  0.7971  0.2029  10 Cu 2.45-2.71
Cu  0.5000  0.5000  0.5000  12 Cu 2.48
Cu  0.5628  0.2029  0.7971  10 Cu 2.45-2.71
Cu  0.5628  0.4372  0.2029  10 Cu 2.45-2.71
Cu  0.5628  0.7971  0.4372  10 Cu 2.45-2.71
Cu  0.7029  0.0628  0.2971  10 Cu 2.45-2.71
Cu  0.7029  0.2971  0.9372  10 Cu 2.45-2.71
Cu  0.7029  0.9372  0.0628  10 Cu 2.45-2.71
Cu  0.7971  0.2029  0.4372  10 Cu 2.45-2.71
Cu  0.7971  0.4372  0.5628  10 Cu 2.45-2.71
Cu  0.7971  0.5628  0.2029  10 Cu 2.45-2.71
Cu  0.9372  0.0628  0.7029  10 Cu 2.45-2.71
Cu  0.9372  0.2971  0.0628  10 Cu 2.45-2.71
Cu  0.9372  0.7029  0.2971  10 Cu 2.45-2.71

Results
E = -3.8790 eV per atom
ΔE_f = -0.08 eV per atom